## P
# TeMoSeS2Br, relaxed, DFT GGA-PBE
data_TeMoSeS2Br
_space_group_name_H-M_alt 'P -1'
_space_group_IT_number 2
_space_group_name_Hall '-P 1'
_cell_length_a 6.414
_cell_length_b 7.425
_cell_length_c 8.446
_cell_angle_alpha 115.89
_cell_angle_beta 101.95
_cell_angle_gamma 101.35
loop_
_atom_site_label
_atom_site_type_symbol
_atom_site_fract_x
_atom_site_fract_y
_atom_site_fract_z
_atom_site_occupancy
Te1 Te 0.125 0.178 0.309 1
Mo1 Mo 0.282 0.000 0.000 1
Se1 Se 0.033 0.222 0.936 1
S1 S 0.395 0.686 0.874 1
S2 S 0.484 0.129 0.837 1
Br1 Br 0.262 0.627 0.440 1
# Magnetization: 0.00 μB/f.u.

***

## Q
# TeMoSeS2Br, relaxed, DFT GGA-PBE
data_TeMoSeS2Br
_space_group_name_H-M_alt 'P -1'
_space_group_IT_number 2
_space_group_name_Hall '-P 1'
_cell_length_a 6.394
_cell_length_b 8.052
_cell_length_c 8.101
_cell_angle_alpha 111.61
_cell_angle_beta 113.17
_cell_angle_gamma 97.79
loop_
_atom_site_label
_atom_site_type_symbol
_atom_site_fract_x
_atom_site_fract_y
_atom_site_fract_z
_atom_site_occupancy
Te1 Te 0.139 0.329 0.167 1
Mo1 Mo 0.229 0.001 0.001 1
Se1 Se 0.099 0.912 0.228 1
S1 S 0.333 0.812 0.732 1
S2 S 0.450 0.767 0.981 1
Br1 Br 0.346 0.249 0.609 1
# Magnetization: 0.00 μB/f.u.

***

Ordering by calculated energy gives the sequence P, Q, with the first entry being the most stable.

***

## P
# TeMoSeS2Br, relaxed, DFT GGA-PBE
data_TeMoSeS2Br
_space_group_name_H-M_alt 'P -1'
_space_group_IT_number 2
_space_group_name_Hall '-P 1'
_cell_length_a 6.318
_cell_length_b 8.116
_cell_length_c 8.210
_cell_angle_alpha 115.78
_cell_angle_beta 104.75
_cell_angle_gamma 97.54
loop_
_atom_site_label
_atom_site_type_symbol
_atom_site_fract_x
_atom_site_fract_y
_atom_site_fract_z
_atom_site_occupancy
Te1 Te 0.131 0.324 0.230 1
Mo1 Mo 0.226 0.000 0.000 1
Se1 Se 0.397 0.937 0.719 1
S1 S 0.024 0.857 0.143 1
S2 S 0.470 0.784 0.021 1
Br1 Br 0.262 0.373 0.598 1
# Magnetization: 0.00 μB/f.u.

***

## Q
# TeMoSeS2Br, relaxed, DFT GGA-PBE
data_TeMoSeS2Br
_space_group_name_H-M_alt 'P -1'
_space_group_IT_number 2
_space_group_name_Hall '-P 1'
_cell_length_a 6.321
_cell_length_b 8.168
_cell_length_c 8.221
_cell_angle_alpha 117.18
_cell_angle_beta 104.77
_cell_angle_gamma 97.50
loop_
_atom_site_label
_atom_site_type_symbol
_atom_site_fract_x
_atom_site_fract_y
_atom_site_fract_z
_atom_site_occupancy
Te1 Te 0.134 0.326 0.238 1
Mo1 Mo 0.230 0.000 0.999 1
Se1 Se 0.028 0.854 0.158 1
S1 S 0.405 0.941 0.739 1
S2 S 0.472 0.788 0.025 1
Br1 Br 0.265 0.369 0.607 1
# Magnetization: 0.00 μB/f.u.

***

Ordering by calculated energy gives the sequence P, Q, with the first entry being the most stable.

***

## P
# Te2MoSeSBr, relaxed, DFT GGA-PBE
data_Te2MoSeSBr
_space_group_name_H-M_alt 'P -1'
_space_group_IT_number 2
_space_group_name_Hall '-P 1'
_cell_length_a 6.535
_cell_length_b 8.215
_cell_length_c 8.510
_cell_angle_alpha 112.14
_cell_angle_beta 112.58
_cell_angle_gamma 97.80
loop_
_atom_site_label
_atom_site_type_symbol
_atom_site_fract_x
_atom_site_fract_y
_atom_site_fract_z
_atom_site_occupancy
Te1 Te 0.104 0.409 0.239 1
Te2 Te 0.138 0.824 0.167 1
Mo1 Mo 0.229 0.501 0.001 1
Se1 Se 0.327 0.304 0.723 1
S1 S 0.454 0.275 0.986 1
Br1 Br 0.344 0.741 0.608 1
# Magnetization: 0.00 μB/f.u.

***

## Q
# Te2MoSeSBr, relaxed, DFT GGA-PBE
data_Te2MoSeSBr
_space_group_name_H-M_alt 'P -1'
_space_group_IT_number 2
_space_group_name_Hall '-P 1'
_cell_length_a 6.559
_cell_length_b 8.363
_cell_length_c 8.435
_cell_angle_alpha 112.73
_cell_angle_beta 112.84
_cell_angle_gamma 97.72
loop_
_atom_site_label
_atom_site_type_symbol
_atom_site_fract_x
_atom_site_fract_y
_atom_site_fract_z
_atom_site_occupancy
Te1 Te 0.106 0.414 0.242 1
Te2 Te 0.140 0.819 0.173 1
Mo1 Mo 0.230 0.501 0.001 1
Se1 Se 0.453 0.258 0.990 1
S1 S 0.339 0.318 0.742 1
Br1 Br 0.352 0.750 0.620 1
# Magnetization: 0.00 μB/f.u.

***

Ordering by calculated energy gives the sequence P, Q, with the first entry being the most stable.

***

## P
# Te2MoSeSBr, relaxed, DFT GGA-PBE
data_Te2MoSeSBr
_space_group_name_H-M_alt 'P -1'
_space_group_IT_number 2
_space_group_name_Hall '-P 1'
_cell_length_a 6.604
_cell_length_b 8.368
_cell_length_c 8.463
_cell_angle_alpha 118.46
_cell_angle_beta 98.53
_cell_angle_gamma 104.30
loop_
_atom_site_label
_atom_site_type_symbol
_atom_site_fract_x
_atom_site_fract_y
_atom_site_fract_z
_atom_site_occupancy
Te1 Te 0.047 0.496 0.254 1
Te2 Te 0.119 0.814 0.109 1
Mo1 Mo 0.287 0.500 0.000 1
Se1 Se 0.378 0.291 0.701 1
S1 S 0.486 0.370 0.143 1
Br1 Br 0.244 0.909 0.623 1
# Magnetization: 0.00 μB/f.u.

***

## Q
# Te2MoSeSBr, relaxed, DFT GGA-PBE
data_Te2MoSeSBr
_space_group_name_H-M_alt 'P -1'
_space_group_IT_number 2
_space_group_name_Hall '-P 1'
_cell_length_a 6.659
_cell_length_b 8.327
_cell_length_c 8.331
_cell_angle_alpha 111.71
_cell_angle_beta 113.54
_cell_angle_gamma 98.81
loop_
_atom_site_label
_atom_site_type_symbol
_atom_site_fract_x
_atom_site_fract_y
_atom_site_fract_z
_atom_site_occupancy
Te1 Te 0.050 0.257 0.000 1
Te2 Te 0.196 0.191 0.319 1
Mo1 Mo 0.287 0.999 0.000 1
Se1 Se 0.374 0.705 0.859 1
S1 S 0.422 0.098 0.808 1
Br1 Br 0.158 0.765 0.405 1
# Magnetization: 0.00 μB/f.u.

***

Ordering by calculated energy gives the sequence P, Q, with the first entry being the most stable.